The following is a GGA-PBE calculation of an optimized crystal structure of LiReTe2, from Alexandria.

a b c (Å): 3.318 3.318 8.707
angles (deg): 90.00 90.00 117.93
Atoms (fractional coordinates):
Re  0.500  0.500  0.750
Te  0.000  0.000  0.508
Te  0.000  0.000  0.992
Li  0.500  0.500  0.250

**Uncorrected formation energy**: 1.9 eV/f.u.
**Symmetry**: No. 65
**E_tot**: -4.6979 eV/atom